# 1
VASP calculation (GGA-PBEsol) on an optimized crystal structure of Ta3TeF.

abc: 5.003 5.003 5.003
angles: 90.00 90.00 90.00
Fractional positions:
Ta 0.000 0.000 0.500
Ta 0.000 0.500 0.000
Ta 0.500 0.000 0.000
Te 0.000 0.000 0.000
F 0.500 0.500 0.500

- Total energy: -6.58 eV per atom
- Formation energy from raw total energies: 2.0401 eV per atom
- Symmetry: Pm-3m

---

# 2
VASP calculation (GGA-PBEsol) on an optimized crystal structure of TaTeF3.

abc: 4.550 4.550 4.550
angles: 90.00 90.00 90.00
Fractional positions:
Ta 0.000 0.000 0.000
Te 0.500 0.500 0.500
F 0.000 0.500 0.500
F 0.500 0.000 0.500
F 0.500 0.500 0.000

- Total energy: -4.23 eV per atom
- Formation energy from raw total energies: 0.1406 eV per atom
- Symmetry: Pm-3m

---

# 3
VASP calculation (GGA-PBEsol) on an optimized crystal structure of TaTe2F.

abc: 4.771 4.771 4.771
angles: 60.00 60.00 60.00
Fractional positions:
Ta 0.000 0.000 0.000
Te 0.250 0.250 0.250
Te 0.750 0.750 0.750
F 0.500 0.500 0.500

- Total energy: -5.82 eV per atom
- Formation energy from raw total energies: -0.4370 eV per atom
- Symmetry: Fm-3m

---

# 4
VASP calculation (GGA-PBEsol) on an optimized crystal structure of Ta3TiF.

abc: 4.670 4.670 4.670
angles: 90.00 90.00 90.00
Fractional positions:
Ta 0.000 0.000 0.500
Ta 0.000 0.500 0.000
Ta 0.500 0.000 0.000
Ti 0.000 0.000 0.000
F 0.500 0.500 0.500

- Total energy: -7.96 eV per atom
- Formation energy from raw total energies: 1.6161 eV per atom
- Symmetry: Pm-3m

---

# 5
VASP calculation (GGA-PBEsol) on an optimized crystal structure of ZrTaF2.

abc: 8.173 8.173 8.173
angles: 20.14 20.14 20.14
Fractional positions:
Zr 0.000 0.000 0.000
Ta 0.500 0.500 0.500
F 0.101 0.101 0.101
F 0.899 0.899 0.899

- Total energy: -7.52 eV per atom
- Formation energy from raw total energies: -1.1450 eV per atom
- Symmetry: R-3m

---

# 6
VASP calculation (GGA-PBEsol) on an optimized crystal structure of Tb4F15.

abc: 8.524 8.524 8.524
angles: 98.64 98.64 98.64
Fractional positions:
Tb 0.182 0.750 0.318
Tb 0.250 0.250 0.250
Tb 0.250 0.682 0.818
Tb 0.318 0.182 0.750
Tb 0.682 0.818 0.250
Tb 0.750 0.318 0.182
Tb 0.750 0.750 0.750
Tb 0.818 0.250 0.682
F 0.011 0.764 0.783
F 0.038 0.462 0.750
F 0.052 0.170 0.686
F 0.170 0.686 0.052
F 0.186 0.670 0.552
F 0.217 0.989 0.236
F 0.236 0.217 0.989
F 0.250 0.962 0.538
F 0.264 0.511 0.283
F 0.283 0.264 0.511
F 0.314 0.948 0.830
F 0.330 0.448 0.814
F 0.448 0.814 0.330
F 0.462 0.750 0.038
F 0.489 0.717 0.736
F 0.511 0.283 0.264
F 0.538 0.250 0.962
F 0.552 0.186 0.670
F 0.670 0.552 0.186
F 0.686 0.052 0.170
F 0.717 0.736 0.489
F 0.736 0.489 0.717
F 0.750 0.038 0.462
F 0.764 0.783 0.011
F 0.783 0.011 0.764
F 0.814 0.330 0.448
F 0.830 0.314 0.948
F 0.948 0.830 0.314
F 0.962 0.538 0.250
F 0.989 0.236 0.217

- Total energy: -5.97 eV per atom
- Formation energy from raw total energies: -3.3894 eV per atom
- Symmetry: R-3c

---

# 7
VASP calculation (GGA-PBEsol) on an optimized crystal structure of TcF6.

abc: 9.375 8.594 4.986
angles: 90.00 90.00 90.00
Fractional positions:
Tc 0.129 0.250 0.083
Tc 0.371 0.750 0.583
Tc 0.629 0.250 0.417
Tc 0.871 0.750 0.917
F 0.016 0.100 0.233
F 0.016 0.250 0.785
F 0.016 0.400 0.233
F 0.241 0.100 0.933
F 0.241 0.400 0.933
F 0.242 0.250 0.382
F 0.258 0.750 0.882
F 0.259 0.600 0.433
F 0.259 0.900 0.433
F 0.484 0.600 0.733
F 0.484 0.750 0.285
F 0.484 0.900 0.733
F 0.516 0.100 0.267
F 0.516 0.250 0.715
F 0.516 0.400 0.267
F 0.741 0.100 0.567
F 0.741 0.400 0.567
F 0.742 0.250 0.118
F 0.758 0.750 0.618
F 0.759 0.600 0.067
F 0.759 0.900 0.067
F 0.984 0.600 0.767
F 0.984 0.750 0.215
F 0.984 0.900 0.767

- Total energy: -5.29 eV per atom
- ΔE to the lowest computed polymorph: 0 meV/atom
- Formation energy from raw total energies: -2.0237 eV per atom
- Symmetry: Pnma

---

# 8
VASP calculation (GGA-PBEsol) on an optimized crystal structure of TcF6.

abc: 5.505 5.505 5.505
angles: 109.47 109.47 109.47
Fractional positions:
Tc 0.000 0.000 0.000
F 0.000 0.287 0.287
F 0.000 0.713 0.713
F 0.287 0.000 0.287
F 0.287 0.287 0.000
F 0.713 0.000 0.713
F 0.713 0.713 0.000

- Total energy: -5.27 eV per atom
- ΔE to the lowest computed polymorph: 12 meV/atom
- Formation energy from raw total energies: -2.0118 eV per atom
- Symmetry: Im-3m

---

# 9
VASP calculation (GGA-PBEsol) on an optimized crystal structure of TiTcF3.

abc: 4.060 4.060 4.060
angles: 90.00 90.00 90.00
Fractional positions:
Ti 0.000 0.000 0.000
Tc 0.500 0.500 0.500
F 0.000 0.000 0.500
F 0.000 0.500 0.000
F 0.500 0.000 0.000

- Total energy: -6.29 eV per atom
- Formation energy from raw total energies: -1.2128 eV per atom
- Symmetry: Pm-3m

---

# 10
VASP calculation (GGA-PBEsol) on an optimized crystal structure of TiTcF2.

abc: 7.489 7.489 7.489
angles: 20.47 20.47 20.47
Fractional positions:
Ti 0.000 0.000 0.000
Tc 0.500 0.500 0.500
F 0.402 0.402 0.402
F 0.598 0.598 0.598

- Total energy: -7.25 eV per atom
- Formation energy from raw total energies: -1.3858 eV per atom
- Symmetry: R-3m

---

# 11
VASP calculation (GGA-PBEsol) on an optimized crystal structure of Tl3TcF.

abc: 5.188 5.188 5.188
angles: 90.00 90.00 90.00
Fractional positions:
Tl 0.000 0.000 0.500
Tl 0.000 0.500 0.000
Tl 0.500 0.000 0.000
Tc 0.000 0.000 0.000
F 0.500 0.500 0.500

- Total energy: -4.09 eV per atom
- Formation energy from raw total energies: 0.1309 eV per atom
- Symmetry: Pm-3m

---

# 12
VASP calculation (GGA-PBEsol) on an optimized crystal structure of TlTcF3.

abc: 4.202 4.202 4.202
angles: 90.00 90.00 90.00
Fractional positions:
Tl 0.000 0.000 0.000
Tc 0.500 0.500 0.500
F 0.000 0.500 0.500
F 0.500 0.000 0.500
F 0.500 0.500 0.000

- Total energy: -5.19 eV per atom
- Formation energy from raw total energies: -1.2525 eV per atom
- Symmetry: Pm-3m

---

> Which of these has the highest total energy?

Tl3TcF